{"formula": "CsGeAsCl2", "functional": "GGA-PBEsol", "state": "optimized geometry", "crystal_system": "tetragonal", "sg": "P4/mmm, No. 123", "energy_ev_per_fu": -17.06, "dos_at_fermi_per_ev_cell": 2.95, "formation_energy_uncorrected_ev_per_atom": -0.412, "lattice": [[5.547, 0.000, 0.000], [0.000, 5.547, 0.000], [0.000, 0.000, 4.839]], "species": ["Cs", "Ge", "As", "Cl", "Cl"], "frac_coords": [[0.000, 0.000, 0.000], [0.500, 0.500, 0.000], [0.500, 0.500, 0.500], [0.000, 0.500, 0.500], [0.500, 0.000, 0.500]]}